# Ag2ClO

A relaxed Ag2ClO crystal (PBE, the Alexandria database).

Results
The theoretical density comes out at 6.91 g cm⁻³. The calculation puts the spin magnetization at 0.25 μB/atom. Its space-group type is Fm-3m. The calculation puts the energy relative to the lowest polymorph listed for this composition at 0.3122 eV/atom. The uncorrected formation energy is 0.8 eV/f.u.

```
16
Lattice="6.355 0.000 0.000 0.000 6.355 0.000 0.000 0.000 6.355" Properties=species:S:1:pos:R:3 pbc="T T T"
Ag 1.589 1.589 1.589
Ag 1.589 1.589 4.766
Ag 1.589 4.766 1.589
Ag 1.589 4.766 4.766
Ag 4.766 1.589 1.589
Ag 4.766 1.589 4.766
Ag 4.766 4.766 1.589
Ag 4.766 4.766 4.766
Cl 0.000 0.000 0.000
Cl 0.000 3.178 3.178
Cl 3.178 0.000 3.178
Cl 3.178 3.178 0.000
O 0.000 0.000 3.178
O 0.000 3.178 0.000
O 3.178 0.000 0.000
O 3.178 3.178 3.178
```

=====

# Ag4Cl2O

A relaxed Ag4Cl2O crystal (PBE, the Alexandria database).

Results
The theoretical density comes out at 5.99 g cm⁻³. The calculation puts the spin magnetization at 0.00 μB/atom. Its space-group type is I4/mmm. The uncorrected formation energy is -1.4 eV/f.u.

```
14
Lattice="4.578 0.000 0.000 0.000 4.578 0.000 0.000 0.000 13.713" Properties=species:S:1:pos:R:3 pbc="T T T"
Ag 0.000 0.000 2.277
Ag 0.000 0.000 11.436
Ag 0.000 2.289 0.000
Ag 0.000 2.289 6.856
Ag 2.289 0.000 0.000
Ag 2.289 0.000 6.856
Ag 2.289 2.289 4.580
Ag 2.289 2.289 9.133
Cl 0.000 0.000 4.735
Cl 0.000 0.000 8.978
Cl 2.289 2.289 2.122
Cl 2.289 2.289 11.591
O 0.000 0.000 0.000
O 2.289 2.289 6.856
```

=====

# Ag2OsCl4O2

A relaxed Ag2OsCl4O2 crystal (PBE, the Alexandria database).

Results
The theoretical density comes out at 4.22 g cm⁻³. The calculation puts the spin magnetization at 0.00 μB/atom. Its space-group type is C2/m. The uncorrected formation energy is -4.9 eV/f.u.

```
9
Lattice="5.740 -3.514 0.000 5.740 3.514 0.000 -2.347 0.000 5.650" Properties=species:S:1:pos:R:3 pbc="T T T"
Ag 2.279 0.000 1.031
Ag 6.854 0.000 4.618
Os -1.173 0.000 2.825
Cl 4.232 1.855 1.114
Cl 4.901 1.855 4.535
Cl 4.232 -1.855 1.114
Cl 4.901 -1.855 4.535
O 0.553 0.000 2.456
O 8.579 0.000 3.194
```

=====

# Ag2PbClO2

A relaxed Ag2PbClO2 crystal (PBE, the Alexandria database).

Results
The theoretical density comes out at 6.72 g cm⁻³. The calculation puts the spin magnetization at 0.11 μB/atom. Its space-group type is P2_1/m. The uncorrected formation energy is -2.4 eV/f.u.

```
12
Lattice="5.595 0.000 0.000 0.000 5.708 0.000 -1.343 0.000 7.584" Properties=species:S:1:pos:R:3 pbc="T T T"
Ag -0.182 1.427 1.748
Ag 1.607 4.281 0.860
Ag 2.645 1.427 6.724
Ag 4.434 4.281 5.836
Pb 1.215 4.281 4.396
Pb 3.037 1.427 3.188
Cl -0.035 1.427 7.055
Cl 4.287 4.281 0.530
O 1.371 2.865 2.625
O 1.371 5.697 2.625
O 2.881 0.011 4.959
O 2.881 2.843 4.959
```